# 1
# NdY2Zn2In2 GGA-PBE relaxed
# V   25.71 A^3/atom
# Energy relative to the elements   -0.307 eV/atom
data_NdY2Zn2In2
_chemical_formula_sum 'Nd1 Y2 Zn2 In2'
_cell_length_a 9.698
_cell_length_b 9.698
_cell_length_c 9.698
_cell_angle_alpha 28.20
_cell_angle_beta 28.20
_cell_angle_gamma 28.20
_space_group_name_H-M_alt 'P 1'
_space_group_IT_number 1
loop_
_space_group_symop_operation_xyz
'x,y,z'
loop_
_atom_site_label
_atom_site_type_symbol
_atom_site_fract_x
_atom_site_fract_y
_atom_site_fract_z
Nd1 Nd 0.000 0.000 0.000
Y1 Y 0.128 0.128 0.128
Y2 Y 0.872 0.872 0.872
Zn1 Zn 0.401 0.401 0.401
Zn2 Zn 0.599 0.599 0.599
In1 In 0.260 0.260 0.260
In2 In 0.740 0.740 0.740


# 2
# Nd2YZn2In2 GGA-PBE relaxed
# V   25.99 A^3/atom
# Energy relative to the elements   -0.304 eV/atom
data_Nd2YZn2In2
_chemical_formula_sum 'Nd2 Y1 Zn2 In2'
_cell_length_a 9.789
_cell_length_b 9.789
_cell_length_c 9.789
_cell_angle_alpha 27.94
_cell_angle_beta 27.94
_cell_angle_gamma 27.94
_space_group_name_H-M_alt 'P 1'
_space_group_IT_number 1
loop_
_space_group_symop_operation_xyz
'x,y,z'
loop_
_atom_site_label
_atom_site_type_symbol
_atom_site_fract_x
_atom_site_fract_y
_atom_site_fract_z
Nd1 Nd 0.127 0.127 0.127
Nd2 Nd 0.873 0.873 0.873
Y1 Y 0.000 0.000 0.000
Zn1 Zn 0.393 0.393 0.393
Zn2 Zn 0.607 0.607 0.607
In1 In 0.267 0.267 0.267
In2 In 0.733 0.733 0.733


# 3
# Nd4ZnIn GGA-PBE relaxed
# V   33.49 A^3/atom
# Energy relative to the elements   -0.031 eV/atom
# Polymorph energy (0 for the lowest one)   0.2006 eV per atom
data_Nd4ZnIn
_chemical_formula_sum 'Nd4 Zn1 In1'
_cell_length_a 5.193
_cell_length_b 5.193
_cell_length_c 7.451
_cell_angle_alpha 90.00
_cell_angle_beta 90.00
_cell_angle_gamma 90.00
_space_group_name_H-M_alt 'P 1'
_space_group_IT_number 1
loop_
_space_group_symop_operation_xyz
'x,y,z'
loop_
_atom_site_label
_atom_site_type_symbol
_atom_site_fract_x
_atom_site_fract_y
_atom_site_fract_z
Nd1 Nd 0.000 0.500 0.235
Nd2 Nd 0.000 0.500 0.765
Nd3 Nd 0.500 0.000 0.235
Nd4 Nd 0.500 0.000 0.765
Zn1 Zn 0.000 0.000 0.000
In1 In 0.500 0.500 0.500


# 4
# Nd6Zn5In GGA-PBE relaxed
# V   25.78 A^3/atom
# Energy relative to the elements   -0.329 eV/atom
data_Nd6Zn5In
_chemical_formula_sum 'Nd6 Zn5 In1'
_cell_length_a 9.116
_cell_length_b 9.116
_cell_length_c 9.116
_cell_angle_alpha 146.52
_cell_angle_beta 131.67
_cell_angle_gamma 60.08
_space_group_name_H-M_alt 'P 1'
_space_group_IT_number 1
loop_
_space_group_symop_operation_xyz
'x,y,z'
loop_
_atom_site_label
_atom_site_type_symbol
_atom_site_fract_x
_atom_site_fract_y
_atom_site_fract_z
Nd1 Nd 0.074 0.329 0.744
Nd2 Nd 0.239 0.000 0.239
Nd3 Nd 0.415 0.671 0.744
Nd4 Nd 0.585 0.329 0.256
Nd5 Nd 0.761 0.000 0.761
Nd6 Nd 0.926 0.671 0.256
Zn1 Zn 0.000 0.500 0.500
Zn2 Zn 0.168 0.168 0.000
Zn3 Zn 0.337 0.837 0.500
Zn4 Zn 0.663 0.163 0.500
Zn5 Zn 0.832 0.832 0.000
In1 In 0.500 0.500 0.000


Copy entry 2 word for word.
# Nd2YZn2In2 GGA-PBE relaxed
# V   25.99 A^3/atom
# Energy relative to the elements   -0.304 eV/atom
data_Nd2YZn2In2
_chemical_formula_sum 'Nd2 Y1 Zn2 In2'
_cell_length_a 9.789
_cell_length_b 9.789
_cell_length_c 9.789
_cell_angle_alpha 27.94
_cell_angle_beta 27.94
_cell_angle_gamma 27.94
_space_group_name_H-M_alt 'P 1'
_space_group_IT_number 1
loop_
_space_group_symop_operation_xyz
'x,y,z'
loop_
_atom_site_label
_atom_site_type_symbol
_atom_site_fract_x
_atom_site_fract_y
_atom_site_fract_z
Nd1 Nd 0.127 0.127 0.127
Nd2 Nd 0.873 0.873 0.873
Y1 Y 0.000 0.000 0.000
Zn1 Zn 0.393 0.393 0.393
Zn2 Zn 0.607 0.607 0.607
In1 In 0.267 0.267 0.267
In2 In 0.733 0.733 0.733